# Na2SnRuW | Alexandria via LeMat-Bulk | PBE-GGA | optimized geometry
data_Na2SnRuW
_symmetry_space_group_name_H-M 'P 4/m m m'
_symmetry_Int_Tables_number 123
_symmetry_space_group_name_Hall '-P 4 2'
_cell_length_a 5.875
_cell_length_b 5.875
_cell_length_c 4.559
_cell_angle_alpha 90.00
_cell_angle_beta 90.00
_cell_angle_gamma 90.00
loop_
_atom_site_label
_atom_site_fract_x
_atom_site_fract_y
_atom_site_fract_z
Na1 0.000 0.500 0.000
Sn1 0.000 0.000 0.500
Ru1 0.500 0.500 0.500
W1 0.500 0.500 0.000
# DOS at the Fermi energy, states/eV/cell: 4.9
# Energy relative to the elements, eV/atom: 1.440
# E, Ry/atom: -0.3186
# Density, g cm⁻³: 4.74
# Total moment, μB/f.u.: 1.30



# MnZn2Cd | Alexandria via LeMat-Bulk | PBE-GGA | optimized geometry
data_MnZn2Cd
_symmetry_space_group_name_H-M 'R -3 m'
_symmetry_Int_Tables_number 166
_symmetry_space_group_name_Hall '-R 3 2"'
_cell_length_a 2.8618
_cell_length_b 2.8618
_cell_length_c 28.3753
_cell_angle_alpha 90.00
_cell_angle_beta 90.00
_cell_angle_gamma 120.00
loop_
_atom_site_label
_atom_site_fract_x
_atom_site_fract_y
_atom_site_fract_z
Mn1 0.0000 0.0000 0.0000
Zn1 0.0000 0.0000 0.2604
Cd1 0.0000 0.0000 0.5000
# DOS at the Fermi energy, states/eV/cell: 8.1
# Energy relative to the elements, eV/atom: 0.159
# E, Ry/atom: -0.2204
# Density, g cm⁻³: 7.38
# Total moment, μB/f.u.: 3.30



# Li2PuTlO6 | Alexandria via LeMat-Bulk | PBE-GGA | optimized geometry
data_Li2PuTlO6
_symmetry_space_group_name_H-M 'R 3'
_symmetry_Int_Tables_number 146
_symmetry_space_group_name_Hall 'R 3'
_cell_length_a 5.4134
_cell_length_b 5.4134
_cell_length_c 14.7854
_cell_angle_alpha 90.00
_cell_angle_beta 90.00
_cell_angle_gamma 120.00
loop_
_atom_site_label
_atom_site_fract_x
_atom_site_fract_y
_atom_site_fract_z
Li1 0.0000 0.0000 0.0000
Li2 0.0000 0.0000 0.4806
Pu1 0.0000 0.0000 0.7018
Tl1 0.0000 0.0000 0.2084
O1 0.0039 0.7048 0.6195
O2 0.0083 0.3610 0.4414
# DOS at the Fermi energy, states/eV/cell: 8.9
# E, Ry/atom: -0.5026
# Density, g cm⁻³: 7.41
# Total moment, μB/f.u.: 1.00
# Uncorrected formation energy, meV/atom: -1810



# SiPt2Pb | Alexandria via LeMat-Bulk | PBE-GGA | optimized geometry
data_SiPt2Pb
_symmetry_space_group_name_H-M 'P 4/m m m'
_symmetry_Int_Tables_number 123
_symmetry_space_group_name_Hall '-P 4 2'
_cell_length_a 4.583
_cell_length_b 4.583
_cell_length_c 3.455
_cell_angle_alpha 90.00
_cell_angle_beta 90.00
_cell_angle_gamma 90.00
loop_
_atom_site_label
_atom_site_fract_x
_atom_site_fract_y
_atom_site_fract_z
Si1 0.000 0.000 0.000
Pt1 0.000 0.500 0.500
Pb1 0.500 0.500 0.000
# DOS at the Fermi energy, states/eV/cell: 2.1
# E, Ry/atom: -0.3817
# Density, g cm⁻³: 14.31
# Total moment, μB/f.u.: 0.00
# Uncorrected formation energy, meV/atom: 110



# DyHo2Ag | Alexandria via LeMat-Bulk | PBE-GGA | optimized geometry
data_DyHo2Ag
_symmetry_space_group_name_H-M 'P 4/m m m'
_symmetry_Int_Tables_number 123
_symmetry_space_group_name_Hall '-P 4 2'
_cell_length_a 3.545
_cell_length_b 3.545
_cell_length_c 8.842
_cell_angle_alpha 90.00
_cell_angle_beta 90.00
_cell_angle_gamma 90.00
loop_
_atom_site_label
_atom_site_fract_x
_atom_site_fract_y
_atom_site_fract_z
Dy1 0.000 0.000 0.000
Ho1 0.500 0.500 0.285
Ag1 0.000 0.000 0.500
# DOS at the Fermi energy, states/eV/cell: 4.8
# Energy relative to the elements, eV/atom: -0.133
# E, Ry/atom: -0.3150
# Density, g cm⁻³: 8.97
# Total moment, μB/f.u.: 0.00
# E above lowest polymorph, kJ/mol of atoms: 0.0



# LaTbGa2Pt2 | Alexandria via LeMat-Bulk | PBE-GGA | optimized geometry
data_LaTbGa2Pt2
_symmetry_space_group_name_H-M 'P -3 m 1'
_symmetry_Int_Tables_number 164
_symmetry_space_group_name_Hall '-P 3 2"'
_cell_length_a 4.5046
_cell_length_b 4.5046
_cell_length_c 7.3165
_cell_angle_alpha 90.00
_cell_angle_beta 90.00
_cell_angle_gamma 120.00
loop_
_atom_site_label
_atom_site_fract_x
_atom_site_fract_y
_atom_site_fract_z
La1 0.0000 0.0000 0.0000
Tb1 0.0000 0.0000 0.5000
Ga1 0.3333 0.6667 0.2765
Pt1 0.3333 0.6667 0.7244
# DOS at the Fermi energy, states/eV/cell: 3.9
# Energy relative to the elements, eV/atom: -1.057
# E, Ry/atom: -0.4169
# Density, g cm⁻³: 10.69
# Total moment, μB/f.u.: 0.00



# LiIrOs | Alexandria via LeMat-Bulk | PBE-GGA | optimized geometry
data_LiIrOs
_symmetry_space_group_name_H-M 'P 4/n m m'
_symmetry_Int_Tables_number 129
_cell_length_a 3.671
_cell_length_b 3.671
_cell_length_c 6.385
_cell_angle_alpha 90.00
_cell_angle_beta 90.00
_cell_angle_gamma 90.00
loop_
_symmetry_equiv_pos_as_xyz
'x,y,z'
'-x,-y,-z'
'-y+1/2,x,z'
'y+1/2,-x,-z'
'-x+1/2,-y+1/2,z'
'x+1/2,y+1/2,-z'
'y,-x+1/2,z'
'-y,x+1/2,-z'
'x+1/2,-y,-z'
'-x+1/2,y,z'
'-y,-x,-z'
'y,x,z'
'-x,y+1/2,-z'
'x,-y+1/2,z'
'y+1/2,x+1/2,-z'
'-y+1/2,-x+1/2,z'
loop_
_atom_site_label
_atom_site_fract_x
_atom_site_fract_y
_atom_site_fract_z
Li1 0.250 0.250 0.187
Ir1 0.250 0.250 0.800
Os1 0.250 0.750 0.500
# DOS at the Fermi energy, states/eV/cell: 4.1
# Energy relative to the elements, eV/atom: 0.372
# E, Ry/atom: -0.5118
# Density, g cm⁻³: 15.03
# Total moment, μB/f.u.: 0.00
# E above lowest polymorph, kJ/mol of atoms: 38.3



# LiBeRu4 | Alexandria via LeMat-Bulk | PBE-GGA | optimized geometry
data_LiBeRu4
_symmetry_space_group_name_H-M 'F -4 3 m'
_symmetry_Int_Tables_number 216
_symmetry_space_group_name_Hall 'F -4 2 3'
_cell_length_a 7.138
_cell_length_b 7.138
_cell_length_c 7.138
_cell_angle_alpha 90.00
_cell_angle_beta 90.00
_cell_angle_gamma 90.00
loop_
_atom_site_label
_atom_site_fract_x
_atom_site_fract_y
_atom_site_fract_z
Li1 0.000 0.000 0.000
Be1 0.250 0.250 0.250
Ru1 0.125 0.125 0.625
# DOS at the Fermi energy, states/eV/cell: 34.1
# Energy relative to the elements, eV/atom: 0.618
# E, Ry/atom: -0.4782
# Density, g cm⁻³: 7.68
# Total moment, μB/f.u.: 1.83



# Hf2TiVN | Alexandria via LeMat-Bulk | PBE-GGA | optimized geometry
data_Hf2TiVN
_symmetry_space_group_name_H-M 'P 4/m m m'
_symmetry_Int_Tables_number 123
_symmetry_space_group_name_Hall '-P 4 2'
_cell_length_a 4.511
_cell_length_b 4.511
_cell_length_c 3.889
_cell_angle_alpha 90.00
_cell_angle_beta 90.00
_cell_angle_gamma 90.00
loop_
_atom_site_label
_atom_site_fract_x
_atom_site_fract_y
_atom_site_fract_z
Hf1 0.000 0.500 0.000
Ti1 0.000 0.000 0.500
V1 0.500 0.500 0.500
N1 0.500 0.500 0.000
# DOS at the Fermi energy, states/eV/cell: 6.4
# E, Ry/atom: -0.7116
# Density, g cm⁻³: 9.86
# Total moment, μB/f.u.: 0.01
# E above lowest polymorph, kJ/mol of atoms: 0.9
# Uncorrected formation energy, meV/atom: -632



# MgBrCl2 | Alexandria via LeMat-Bulk | PBE-GGA | optimized geometry
data_MgBrCl2
_symmetry_space_group_name_H-M 'C m m 2'
_symmetry_Int_Tables_number 35
_cell_length_a 3.641
_cell_length_b 6.420
_cell_length_c 10.993
_cell_angle_alpha 90.00
_cell_angle_beta 90.00
_cell_angle_gamma 90.00
loop_
_symmetry_equiv_pos_as_xyz
'x,y,z'
'-x,-y,z'
'-x,y,z'
'x,-y,z'
'x+1/2,y+1/2,z'
'-x+1/2,-y+1/2,z'
'-x+1/2,y+1/2,z'
'x+1/2,-y+1/2,z'
loop_
_atom_site_label
_atom_site_fract_x
_atom_site_fract_y
_atom_site_fract_z
Mg1 0.000 0.000 0.000
Br1 0.000 0.500 0.834
Cl1 0.000 0.000 0.486
Cl2 0.000 0.500 0.142
# DOS at the Fermi energy, states/eV/cell: 4.6
# E, Ry/atom: -0.1847
# Density, g cm⁻³: 2.26
# Total moment, μB/f.u.: 0.92
# E above lowest polymorph, kJ/mol of atoms: 39.7
# Uncorrected formation energy, meV/atom: -773



# TiBrF3 | Alexandria via LeMat-Bulk | PBE-GGA | optimized geometry
data_TiBrF3
_symmetry_space_group_name_H-M 'P m -3 m'
_symmetry_Int_Tables_number 221
_symmetry_space_group_name_Hall '-P 4 2 3'
_cell_length_a 4.591
_cell_length_b 4.591
_cell_length_c 4.591
_cell_angle_alpha 90.00
_cell_angle_beta 90.00
_cell_angle_gamma 90.00
loop_
_atom_site_label
_atom_site_fract_x
_atom_site_fract_y
_atom_site_fract_z
Ti1 0.000 0.000 0.000
Br1 0.500 0.500 0.500
F1 0.000 0.500 0.500
# DOS at the Fermi energy, states/eV/cell: 24.1
# E, Ry/atom: -0.2344
# Density, g cm⁻³: 3.17
# Total moment, μB/f.u.: 0.26
# E above lowest polymorph, kJ/mol of atoms: 249.9
# Uncorrected formation energy, meV/atom: -153



# PrEr8 | Alexandria via LeMat-Bulk | PBE-GGA | optimized geometry
data_PrEr8
_symmetry_space_group_name_H-M 'I 4/m m m'
_symmetry_Int_Tables_number 139
_symmetry_space_group_name_Hall '-I 4 2'
_cell_length_a 10.600
_cell_length_b 10.600
_cell_length_c 4.980
_cell_angle_alpha 90.00
_cell_angle_beta 90.00
_cell_angle_gamma 90.00
loop_
_atom_site_label
_atom_site_fract_x
_atom_site_fract_y
_atom_site_fract_z
Pr1 0.000 0.000 0.000
Er1 0.000 0.335 0.000
Er2 0.168 0.168 0.500
# DOS at the Fermi energy, states/eV/cell: 25.8
# Energy relative to the elements, eV/atom: 0.025
# E, Ry/atom: -0.3353
# Density, g cm⁻³: 8.78
# Total moment, μB/f.u.: 0.00



# BePt5 | Alexandria via LeMat-Bulk | PBE-GGA | optimized geometry
data_BePt5
_symmetry_space_group_name_H-M 'C m m m'
_symmetry_Int_Tables_number 65
_symmetry_space_group_name_Hall '-C 2 2'
_cell_length_a 3.843
_cell_length_b 11.678
_cell_length_c 3.932
_cell_angle_alpha 90.00
_cell_angle_beta 90.00
_cell_angle_gamma 90.00
loop_
_atom_site_label
_atom_site_fract_x
_atom_site_fract_y
_atom_site_fract_z
Be1 0.000 0.000 0.000
Pt1 0.000 0.165 0.500
Pt2 0.000 0.344 0.000
Pt3 0.000 0.500 0.500
# DOS at the Fermi energy, states/eV/cell: 7.4
# Energy relative to the elements, eV/atom: -0.215
# E, Ry/atom: -0.4315
# Density, g cm⁻³: 18.53
# Total moment, μB/f.u.: 0.00
# E above lowest polymorph, kJ/mol of atoms: 8.3



# CeGePRh2 | Alexandria via LeMat-Bulk | PBE-GGA | optimized geometry
data_CeGePRh2
_symmetry_space_group_name_H-M 'P 4 m m'
_symmetry_Int_Tables_number 99
_cell_length_a 4.061
_cell_length_b 4.061
_cell_length_c 6.471
_cell_angle_alpha 90.00
_cell_angle_beta 90.00
_cell_angle_gamma 90.00
loop_
_symmetry_equiv_pos_as_xyz
'x,y,z'
'-y,x,z'
'-x,-y,z'
'y,-x,z'
'-x,y,z'
'y,x,z'
'x,-y,z'
'-y,-x,z'
loop_
_atom_site_label
_atom_site_fract_x
_atom_site_fract_y
_atom_site_fract_z
Ce1 0.000 0.000 0.000
Ge1 0.500 0.500 0.179
P1 0.000 0.000 0.577
Rh1 0.000 0.500 0.407
# DOS at the Fermi energy, states/eV/cell: 8.5
# Energy relative to the elements, eV/atom: -0.668
# E, Ry/atom: -0.4999
# Density, g cm⁻³: 6.99
# Total moment, μB/f.u.: 1.24